TlNiIr2 (PBE, optimized geometry); final energy = -5.93 eV/atom; E above lowest polymorph = 0.734 eV per formula unit; calculated density = 17.1 Mg/m³; symmetry = F-43m (216)
1.0
4.465 0.000 0.000
2.233 3.867 0.000
2.233 1.289 3.646
Ir Ni Tl
2 1 1
Cartesian
2.233 1.289 0.911
0.000 0.000 0.000
4.465 2.578 1.823
6.698 3.867 2.734

Tl2NiIr2 (PBE, optimized geometry); final energy = -4.93 eV/atom; E above lowest polymorph = 1.510 eV per formula unit; calculated density = 13.8 Mg/m³; symmetry = I4/mmm (139)
1.0
3.539 0.000 0.000
0.000 3.539 0.000
1.770 1.770 8.191
Ir Ni Tl
2 1 2
Cartesian
3.539 1.770 4.096
1.770 3.539 4.096
0.000 0.000 0.000
1.770 1.770 1.600
3.539 3.539 6.591

TlNiIr2 (PBE, optimized geometry); final energy = -6.07 eV/atom; E above lowest polymorph = 0.148 eV per formula unit; calculated density = 16.8 Mg/m³; symmetry = Cm (8)
1.0
-0.762 -2.479 -3.867
0.094 -4.298 -1.786
-4.819 -1.376 0.778
Ir Tl Ni
2 1 1
Cartesian
-4.578 -1.349 0.703
-4.155 -6.132 -3.655
-1.460 -2.049 -1.191
-2.856 -4.077 -2.392

TlNiIr (PBE, optimized geometry); final energy = -5.12 eV/atom; E above lowest polymorph = 0.311 eV per formula unit; calculated density = 14.2 Mg/m³; symmetry = F-43m (216)
1.0
4.226 0.000 0.000
2.113 3.660 0.000
2.113 1.220 3.450
Tl Ir Ni
1 1 1
Cartesian
0.000 0.000 0.000
4.226 2.440 1.725
6.339 3.660 2.588

In the order shown, the computed DOS(E_F) values come out to 1.34; 1.07; 1.05; 1.93 states/eV/atom.